Record 1
Density functional theory data (meta-GGA SCAN) for a PBEsol-optimized structure of Al2AsAu2.

a b c (Å): 6.499 6.499 6.499
angles (deg): 144.81 144.81 50.62
Positions (direct):
Al: 0.250 0.750 0.500
Al: 0.750 0.250 0.500
As: 0.000 0.000 0.000
Au: 0.386 0.386 0.000
Au: 0.614 0.614 0.000

Values from the calculation:
SG: I4/mmm (139)

***

Record 2
Density functional theory data (meta-GGA SCAN) for a PBEsol-optimized structure of Al2AsAu.

a b c (Å): 4.646 4.646 4.646
angles (deg): 60.00 60.00 60.00
Positions (direct):
Al: 0.000 0.000 0.000
Al: 0.250 0.250 0.250
As: 0.500 0.500 0.500
Au: 0.750 0.750 0.750

Values from the calculation:
SG: F-43m (216)

***

Record 3
Density functional theory data (meta-GGA SCAN) for a PBEsol-optimized structure of AlB2As.

a b c (Å): 5.742 5.742 5.742
angles (deg): 127.92 127.92 76.75
Positions (direct):
Al: 0.000 0.000 0.000
Al: 0.750 0.250 0.500
B: 0.147 0.625 0.022
B: 0.375 0.397 0.522
B: 0.603 0.125 0.978
B: 0.875 0.853 0.478
As: 0.250 0.750 0.500
As: 0.500 0.500 0.000

Values from the calculation:
SG: I-42d (122)

***

The records above give, respectively, ρ values of 9.6; 7.6; 3.6 g/cm3.
The records above give, respectively, DFT formation energy values of -0.221; 0.144; 0.469 eV per atom.